# 1
LiLa2Mg: relaxed, PBEsol.

Computed properties:
Calculated volume: 221.9 Å³ per cell
DFT total energy: -28.58 eV for the cell shown
E above lowest polymorph: 0.0093 eV/atom
ΔH_f (0 K): 0.0215 eV per atom

Cell: 12.181 3.675 5.575 Å, 90.00 117.22 90.00°
Space group Cm (No. 8)
One atom of each set of equivalent atoms:
Li  0.000  0.000  0.000
La  0.021  0.500  0.522
La  0.263  0.500  0.264
Mg  0.298  0.000  0.799

***

# 2
BiW2F: relaxed, PBEsol.

Computed properties:
Calculated volume: 265.3 Å³ per cell
DFT total energy: -118.79 eV for the cell shown
Uncorrected formation energy: 4.13 eV per formula unit

Cell: 6.426 6.426 6.426 Å, 90.00 90.00 90.00°
Space group Fm-3m (No. 225)
One atom of each set of equivalent atoms:
Bi  0.000  0.000  0.000
W  0.250  0.250  0.250
F  0.000  0.000  0.500

***

# 3
Ti3HgB: relaxed, PBEsol.

Computed properties:
Calculated volume: 77.4 Å³ per cell
DFT total energy: -34.25 eV for the cell shown
ΔH_f (0 K): -0.3408 eV per atom

Cell: 4.262 4.262 4.262 Å, 90.00 90.00 90.00°
Space group Pm-3m (No. 221)
One atom of each set of equivalent atoms:
Ti  0.000  0.000  0.500
Hg  0.500  0.500  0.500
B  0.000  0.000  0.000

***

# 4
RbLaBe2Au: relaxed, PBEsol.

Computed properties:
Calculated volume: 391.2 Å³ per cell
DFT total energy: -9.87 eV for the cell shown
ΔH_f (0 K): 1.6850 eV per atom

Cell: 5.318 5.318 13.834 Å, 90.00 90.00 90.00°
Space group P4/mmm (No. 123)
One atom of each set of equivalent atoms:
Rb  0.000  0.000  0.000
La  0.000  0.000  0.500
Be  0.000  0.500  0.500
Au  0.500  0.500  0.000

***

# 5
SbIrRh2: relaxed, PBEsol.

Computed properties:
Calculated volume: 61.2 Å³ per cell
DFT total energy: -30.35 eV for the cell shown
Uncorrected formation energy: 0.30 eV per formula unit

Cell: 2.895 3.777 5.598 Å, 90.00 90.00 90.00°
Space group Pmm2 (No. 25)
One atom of each set of equivalent atoms:
Sb  0.000  0.000  0.000
Ir  0.500  0.500  0.279
Rh  0.000  0.000  0.501
Rh  0.500  0.500  0.749

***

# 6
Se2ClF: relaxed, PBEsol.

Computed properties:
Calculated volume: 260.7 Å³ per cell
DFT total energy: -41.79 eV for the cell shown
Uncorrected formation energy: 1.19 eV per formula unit

Cell: 6.388 6.388 6.388 Å, 90.00 90.00 90.00°
Space group Fm-3m (No. 225)
One atom of each set of equivalent atoms:
Se  0.250  0.250  0.250
Cl  0.000  0.000  0.000
F  0.000  0.000  0.500

***

# 7
CdGaI2O: relaxed, PBEsol.

Computed properties:
Calculated volume: 141.9 Å³ per cell
DFT total energy: -13.85 eV for the cell shown
Uncorrected formation energy: -0.53 eV per formula unit

Cell: 5.876 5.876 4.112 Å, 90.00 90.00 90.00°
Space group P4/mmm (No. 123)
One atom of each set of equivalent atoms:
Cd  0.000  0.000  0.000
Ga  0.500  0.500  0.500
I  0.000  0.500  0.000
O  0.000  0.000  0.500

***

# 8
LiC4: relaxed, PBEsol.

Computed properties:
Calculated volume: 35.1 Å³ per cell
DFT total energy: -35.21 eV for the cell shown
ΔH_f (0 K): 1.0671 eV per atom

Cell: 2.4544 2.4544 6.7370 Å, 90.00 90.00 120.00°
Space group P-3m1 (No. 164)
One atom of each set of equivalent atoms:
Li  0.0000  0.0000  0.0000
C  0.3333  0.6667  0.2376
C  0.3333  0.6667  0.4576

***

# 9
KPRu2: relaxed, PBEsol.

Computed properties:
Calculated volume: 254.4 Å³ per cell
DFT total energy: -79.86 eV for the cell shown
ΔH_f (0 K): 0.1625 eV per atom

Cell: 3.6073 3.6073 22.5716 Å, 90.00 90.00 120.00°
Space group R-3m (No. 166, hexagonal axes)
One atom of each set of equivalent atoms:
K  0.0000  0.0000  0.0000
P  0.0000  0.0000  0.5000
Ru  0.0000  0.0000  0.2060

***

# 10
LiScAgAs2: relaxed, PBEsol.

Computed properties:
Calculated volume: 127.4 Å³ per cell
DFT total energy: -20.02 eV for the cell shown
ΔH_f (0 K): 0.4143 eV per atom

Cell: 4.955 4.955 5.190 Å, 90.00 90.00 90.00°
Space group P4/mmm (No. 123)
One atom of each set of equivalent atoms:
Li  0.000  0.000  0.000
Sc  0.000  0.000  0.500
Ag  0.500  0.500  0.000
As  0.000  0.500  0.500

***

# 11
LiSbSe2: relaxed, PBEsol.

Computed properties:
Calculated volume: 358.2 Å³ per cell
DFT total energy: -67.36 eV for the cell shown
Uncorrected formation energy: -2.62 eV per formula unit

Cell: 5.615 5.615 11.360 Å, 90.00 90.00 90.00°
Space group I4_1/amd (No. 141, origin choice 2)
One atom of each set of equivalent atoms:
Li  0.000  0.250  0.375
Sb  0.000  0.250  0.875
Se  0.000  0.250  0.125

***

# 12
BaCaTe2: relaxed, PBEsol.

Computed properties:
Calculated volume: 287.1 Å³ per cell
DFT total energy: -34.88 eV for the cell shown
E above lowest polymorph: 0.1561 eV/atom
Uncorrected formation energy: -6.11 eV per formula unit

Cell: 5.040 4.379 13.010 Å, 90.00 90.00 90.00°
Space group Amm2 (No. 38)
One atom of each set of equivalent atoms:
Ba  0.000  0.000  0.000
Ca  0.500  0.000  0.249
Te  0.000  0.000  0.731
Te  0.500  0.000  0.482

***

# 13
Ge2PbI2: relaxed, PBEsol.

Computed properties:
Calculated volume: 296.2 Å³ per cell
DFT total energy: -32.58 eV for the cell shown
Uncorrected formation energy: 1.12 eV per formula unit

Cell: 5.942 5.942 8.390 Å, 90.00 90.00 90.00°
Space group I4/mmm (No. 139)
One atom of each set of equivalent atoms:
Ge  0.000  0.000  0.148
Pb  0.000  0.000  0.500
I  0.000  0.500  0.250

***

# 14
LiVP3O9: relaxed, PBEsol.

Computed properties:
Calculated volume: 800.8 Å³ per cell
DFT total energy: -422.74 eV for the cell shown
E above lowest polymorph: 0.0450 eV/atom
Uncorrected formation energy: -29.46 eV per formula unit

Cell: 9.198 7.140 12.193 Å, 90.00 90.00 90.00°
Space group Pnma (No. 62)
One atom of each set of equivalent atoms:
Li  0.052  0.250  0.008
V  0.020  0.750  0.785
P  0.200  0.250  0.451
P  0.249  0.542  0.146
O  0.097  0.250  0.359
O  0.109  0.060  0.119
O  0.138  0.750  0.931
O  0.150  0.537  0.728
O  0.165  0.076  0.532
O  0.202  0.750  0.182

***

# 15
La2TlTe: relaxed, PBEsol.

Computed properties:
Calculated volume: 132.2 Å³ per cell
DFT total energy: -20.72 eV for the cell shown
E above lowest polymorph: 0.0000 eV/atom
Uncorrected formation energy: -3.87 eV per formula unit

Cell: 4.316 4.760 6.437 Å, 90.00 90.00 90.00°
Space group Pmmm (No. 47)
One atom of each set of equivalent atoms:
La  0.000  0.000  0.000
La  0.500  0.500  0.500
Tl  0.000  0.000  0.500
Te  0.500  0.500  0.000

***

# 16
MgRh3: relaxed, PBEsol.

Computed properties:
Calculated volume: 225.1 Å³ per cell
DFT total energy: -106.92 eV for the cell shown
ΔH_f (0 K): -0.1492 eV per atom

Cell: 5.460 9.332 4.418 Å, 90.00 90.00 90.00°
Space group Cmcm (No. 63)
One atom of each set of equivalent atoms:
Mg  0.000  0.088  0.250
Rh  0.000  0.417  0.750
Rh  0.243  0.334  0.250

***

# 17
Ce3Nd2O9: relaxed, PBEsol.

Computed properties:
Calculated volume: 407.1 Å³ per cell
DFT total energy: -249.67 eV for the cell shown
Uncorrected formation energy: -47.47 eV per formula unit

Cell: 3.848 3.848 27.490 Å, 90.00 90.00 90.00°
Space group I-4m2 (No. 119)
One atom of each set of equivalent atoms:
Ce  0.000  0.000  0.000
Ce  0.000  0.000  0.402
Nd  0.000  0.000  0.193
O  0.000  0.500  0.052
O  0.000  0.500  0.152
O  0.000  0.500  0.546
O  0.000  0.500  0.642
O  0.000  0.500  0.750

***

# 18
CuSiPt: relaxed, PBEsol.

Computed properties:
Calculated volume: 173.2 Å³ per cell
DFT total energy: -72.93 eV for the cell shown
Uncorrected formation energy: -1.19 eV per formula unit

Cell: 5.574 5.574 5.574 Å, 90.00 90.00 90.00°
Space group F-43m (No. 216)
One atom of each set of equivalent atoms:
Cu  0.000  0.000  0.000
Si  0.250  0.250  0.750
Pt  0.000  0.000  0.500

***

# 19
CrIN2: relaxed, PBEsol.

Computed properties:
Calculated volume: 156.7 Å³ per cell
DFT total energy: -82.04 eV for the cell shown
Uncorrected formation energy: 1.72 eV per formula unit

Cell: 3.1006 3.1006 18.8180 Å, 90.00 90.00 120.00°
Space group R-3m (No. 166, hexagonal axes)
One atom of each set of equivalent atoms:
Cr  0.0000  0.0000  0.0000
I  0.0000  0.0000  0.5000
N  0.0000  0.0000  0.3837

***

# 20
BaRhS3: relaxed, PBEsol.

Computed properties:
Calculated volume: 176.1 Å³ per cell
DFT total energy: -16.88 eV for the cell shown
E above lowest polymorph: 2.1159 eV/atom
Uncorrected formation energy: 6.56 eV per formula unit

Cell: 5.605 5.605 5.605 Å, 90.00 90.00 90.00°
Space group Pm-3m (No. 221)
One atom of each set of equivalent atoms:
Ba  0.000  0.000  0.000
Rh  0.500  0.500  0.500
S  0.000  0.000  0.500

***

# 21
TeSe3F: relaxed, PBEsol.

Computed properties:
Calculated volume: 100.6 Å³ per cell
DFT total energy: -14.99 eV for the cell shown
Uncorrected formation energy: 2.02 eV per formula unit

Cell: 4.651 4.651 4.651 Å, 90.00 90.00 90.00°
Space group Pm-3m (No. 221)
One atom of each set of equivalent atoms:
Te  0.000  0.000  0.000
Se  0.000  0.500  0.500
F  0.500  0.500  0.500

***

# 22
TlGeIr3: relaxed, PBEsol.

Computed properties:
Calculated volume: 117.1 Å³ per cell
DFT total energy: -24.52 eV for the cell shown
ΔH_f (0 K): 2.5031 eV per atom

Cell: 4.893 4.893 4.893 Å, 90.00 90.00 90.00°
Space group Pm-3m (No. 221)
One atom of each set of equivalent atoms:
Tl  0.000  0.000  0.000
Ge  0.500  0.500  0.500
Ir  0.000  0.000  0.500

***

# 23
Si2Ge2F: relaxed, PBEsol.

Computed properties:
Calculated volume: 174.1 Å³ per cell
DFT total energy: -48.83 eV for the cell shown
Uncorrected formation energy: -1.12 eV per formula unit

Cell: 4.352 4.352 9.192 Å, 90.00 90.00 90.00°
Space group I4/mmm (No. 139)
One atom of each set of equivalent atoms:
Si  0.000  0.000  0.123
Ge  0.000  0.500  0.250
F  0.000  0.000  0.500

***

# 24
LaCuNi2: relaxed, PBEsol.

Computed properties:
Calculated volume: 252.1 Å³ per cell
DFT total energy: -86.94 eV for the cell shown
ΔH_f (0 K): 0.0649 eV per atom

Cell: 6.318 6.318 6.318 Å, 90.00 90.00 90.00°
Space group Fm-3m (No. 225)
One atom of each set of equivalent atoms:
La  0.000  0.000  0.000
Cu  0.000  0.000  0.500
Ni  0.250  0.250  0.250

***

# 25
CrPAu2: relaxed, PBEsol.

Computed properties:
Calculated volume: 128.6 Å³ per cell
DFT total energy: -47.31 eV for the cell shown
ΔH_f (0 K): 0.0564 eV per atom

Cell: 12.474 2.827 3.662 Å, 90.00 95.14 90.00°
Space group C2/m (No. 12)
One atom of each set of equivalent atoms:
Cr  0.000  0.000  0.000
P  0.000  0.500  0.500
Au  0.183  0.500  0.227

***

# 26
LaAsIr2: relaxed, PBEsol.

Computed properties:
Calculated volume: 73.1 Å³ per cell
DFT total energy: -30.75 eV for the cell shown
ΔH_f (0 K): -0.1621 eV per atom

Cell: 3.196 3.196 7.153 Å, 90.00 90.00 90.00°
Space group P4mm (No. 99)
One atom of each set of equivalent atoms:
La  0.000  0.000  0.000
As  0.500  0.500  0.330
Ir  0.000  0.000  0.486
Ir  0.500  0.500  0.733